Record 1
Density functional theory data (meta-GGA SCAN) for a crystal of Be2TcAu relaxed with PBEsol.

Properties
Electronic total energy: -113.78 eV per formula unit
M_tot: 0.00 μB/f.u.

Cell lengths 3.3218, 3.2198, 8.5324 Å; angles 90.00, 90.00, 90.00 degrees
Space group Amm2 (No. 38)
Inequivalent atoms, fractional coordinates:
Be 0.0000 0.0000 0.0000 x2
Be 0.5000 0.0000 0.1595 x2
Tc 0.5000 0.0000 0.4448 x2
Au 0.0000 0.0000 0.7259 x2


Record 2
Density functional theory data (meta-GGA SCAN) for a crystal of GaTeOsI2 relaxed with PBEsol.

Properties
Polymorph energy (0 for the lowest one): 0 meV per atom
Formation energy (no corrections): 0.55 eV per atom
M_tot: 0.00 μB/f.u.

Cell lengths 5.5759, 5.5759, 4.9378 Å; angles 90.00, 90.00, 90.00 degrees
Space group P4/mmm (No. 123)
Inequivalent atoms, fractional coordinates:
Ga 0.0000 0.0000 0.0000 x1
Te 0.5000 0.5000 0.0000 x1
Os 0.5000 0.5000 0.5000 x1
I 0.0000 0.5000 0.5000 x2


Record 3
Density functional theory data (meta-GGA SCAN) for a crystal of RbNbN2O relaxed with PBEsol.

Properties
Formation energy (no corrections): -0.71 eV per atom
M_tot: 2.00 μB/f.u.

Cell lengths 4.1821, 4.1821, 4.0986 Å; angles 90.00, 90.00, 90.00 degrees
Space group P4/mmm (No. 123)
Inequivalent atoms, fractional coordinates:
Rb 0.0000 0.0000 0.0000 x1
Nb 0.5000 0.5000 0.5000 x1
N 0.0000 0.5000 0.5000 x2
O 0.5000 0.5000 0.0000 x1


Record 4
Density functional theory data (meta-GGA SCAN) for a crystal of FeTc2Br relaxed with PBEsol.

Properties
Polymorph energy (0 for the lowest one): 137 meV per atom
Formation energy (no corrections): 0.50 eV per atom
M_tot: 3.25 μB/f.u.

Cell lengths 2.9344, 2.9344, 6.7690 Å; angles 90.00, 90.00, 90.00 degrees
Space group P4mm (No. 99)
Inequivalent atoms, fractional coordinates:
Fe 0.0000 0.0000 0.0000 x1
Tc 0.0000 0.0000 0.4758 x1
Tc 0.5000 0.5000 0.2545 x1
Br 0.5000 0.5000 0.7604 x1


Record 5
Density functional theory data (meta-GGA SCAN) for a crystal of In4Pb3 relaxed with PBEsol.

Properties
Electronic total energy: -360.39 eV per formula unit
M_tot: 0.00 μB/f.u.

Cell lengths 3.8914, 3.8914, 25.2224 Å; angles 90.00, 90.00, 90.00 degrees
Space group I4/mmm (No. 139)
Inequivalent atoms, fractional coordinates:
In 0.0000 0.0000 0.0734 x4
In 0.0000 0.0000 0.3615 x4
Pb 0.0000 0.0000 0.2104 x4
Pb 0.0000 0.0000 0.5000 x2


Record 6
Density functional theory data (meta-GGA SCAN) for a crystal of Li24Rh5 relaxed with PBEsol.

Properties
Electronic total energy: -227.02 eV per formula unit
M_tot: 0.08 μB/f.u.

Cell lengths 9.4682, 9.4682, 9.4682 Å; angles 90.00, 90.00, 90.00 degrees
Space group I-43m (No. 217)
Inequivalent atoms, fractional coordinates:
Li 0.0643 0.3518 0.3518 x24
Li 0.0871 0.0871 0.2714 x24
Rh 0.0000 0.0000 0.0000 x2
Rh 0.1651 0.1651 0.8349 x8


Record 7
Density functional theory data (meta-GGA SCAN) for a crystal of InRh2Se relaxed with PBEsol.

Properties
Formation energy (no corrections): -0.12 eV per atom
M_tot: 0.00 μB/f.u.

Cell lengths 3.0364, 3.8759, 5.6618 Å; angles 90.00, 90.00, 90.00 degrees
Space group Pmmm (No. 47)
Inequivalent atoms, fractional coordinates:
In 0.0000 0.0000 0.0000 x1
Rh 0.5000 0.5000 0.2458 x2
Se 0.5000 0.0000 0.5000 x1


Record 8
Density functional theory data (meta-GGA SCAN) for a crystal of LaNb2HgO relaxed with PBEsol.

Properties
Formation energy (no corrections): 2.13 eV per atom
M_tot: 0.39 μB/f.u.

Cell lengths 4.8898, 4.8898, 5.6619 Å; angles 90.00, 90.00, 90.00 degrees
Space group P4/mmm (No. 123)
Inequivalent atoms, fractional coordinates:
La 0.0000 0.0000 0.0000 x1
Nb 0.0000 0.5000 0.0000 x2
Hg 0.0000 0.0000 0.5000 x1
O 0.5000 0.5000 0.5000 x1